(1)
Li2InSb after structural relaxation, computed with PBE.

Computed properties:
Energy relative to the elements, uncorrected = -0.32 eV/atom
Space-group type = Cm, No. 8

Structure (extended XYZ):
```
4
Lattice="-0.8265 -0.0272 -5.5127 -3.4403 -1.3591 -4.1702 -2.3452 4.4511 -0.1500" Properties=species:S:1:pos:R:3 pbc="T T T"
Li -4.9322 2.1915 -7.4287
Li -4.3189 -1.2867 -9.6856
Sb -3.3468 1.6897 -4.8398
In -1.5871 0.6167 -2.4783
```


(2)
Na9HgPd4 after structural relaxation, computed with PBE.

Computed properties:
Space-group type = P6_3/mmc, No. 194
Calculated formation energy = -104 meV per atom

Structure (extended XYZ):
```
28
Lattice="9.0690 0.0000 0.0000 0.0000 8.1890 -4.7279 0.0000 0.0000 9.4558" Properties=species:S:1:pos:R:3 pbc="T T T"
Pd 4.5345 0.0000 0.0000
Pd 2.2673 0.8160 1.4134
Pd 6.8018 7.3730 -3.3145
Pd 0.0000 0.0000 0.0000
Pd 2.2673 0.8160 8.0424
Pd 6.8018 1.6321 0.0000
Pd 6.8018 7.3730 3.3145
Pd 2.2673 6.5569 4.7279
Na 5.0768 5.2843 4.7279
Na 0.5423 2.9047 0.0000
Na 3.9922 6.7366 2.2124
Na 8.5267 5.2843 4.7279
Na 6.8018 7.4749 0.0000
Na 5.0768 1.4524 2.5155
Na 5.0768 1.4524 6.9403
Na 3.9922 2.9047 0.0000
Na 2.2673 3.7374 2.9824
Na 6.8018 4.4516 1.7455
Na 8.5267 1.4524 2.5155
Na 0.5423 6.7366 2.2124
Na 2.2673 3.7374 6.4734
Na 2.2673 0.7141 4.7279
Na 6.8018 4.4516 -1.7455
Na 8.5267 1.4524 6.9403
Na 3.9922 6.7366 -2.2124
Na 0.5423 6.7366 -2.2124
Hg 2.2673 5.4593 0.0000
Hg 6.8018 2.7297 4.7279
```


(3)
TlCrCl6 after structural relaxation, computed with PBE.

Computed properties:
Energy relative to the elements, uncorrected = -0.84 eV/atom
Space-group type = C2/m, No. 12

Structure (extended XYZ):
```
8
Lattice="6.5736 -0.4076 -1.2810 -2.3806 6.1409 -1.2810 0.4572 0.6251 6.4775" Properties=species:S:1:pos:R:3 pbc="T T T"
Cl -1.2543 4.8929 3.9022
Cl 1.4701 2.0101 4.8394
Cl 5.0429 0.2875 3.9022
Cl -0.3928 6.0709 0.0133
Cl 5.9045 1.4656 0.0133
Cl 3.1801 4.3483 -0.9239
Tl 0.2286 0.3126 3.2387
Cr 0.0000 0.0000 0.0000
```


(4)
CsYCo3 after structural relaxation, computed with PBE.

Computed properties:
Space-group type = Pm-3m, No. 221
Calculated formation energy = 1839 meV per atom

Structure (extended XYZ):
```
5
Lattice="-1.4334 2.8202 3.5063 -3.8858 -2.6314 0.5280 2.2690 -2.7248 3.1193" Properties=species:S:1:pos:R:3 pbc="T T T"
Co -1.9429 -1.3157 0.2640
Co 1.1345 -1.3624 1.5596
Co -0.7167 1.4101 1.7532
Y -1.5251 -1.2680 3.5768
Cs 0.0000 0.0000 0.0000
```


(5)
MgScCrB2 after structural relaxation, computed with PBE.

Computed properties:
Space-group type = P4/mmm, No. 123
Calculated formation energy = 2083 meV per atom

Structure (extended XYZ):
```
5
Lattice="4.0949 0.0000 0.0000 0.0000 4.6581 0.0000 0.0000 0.0000 4.0949" Properties=species:S:1:pos:R:3 pbc="T T T"
Cr 2.0474 2.3290 2.0474
Mg 0.0000 0.0000 0.0000
Sc 0.0000 2.3290 0.0000
B 2.0474 0.0000 0.0000
B 0.0000 0.0000 2.0474
```


(6)
BaCu3Ru after structural relaxation, computed with PBE.

Computed properties:
Space-group type = Pm-3m, No. 221
Calculated formation energy = 462 meV per atom

Structure (extended XYZ):
```
5
Lattice="-4.3188 -0.1891 -2.1217 2.1182 -0.8882 -4.2324 -0.2251 -4.7291 0.8798" Properties=species:S:1:pos:R:3 pbc="T T T"
Ba -1.2128 -2.9032 -2.7372
Ru 0.0000 0.0000 0.0000
Cu -2.1594 -0.0946 -1.0608
Cu 1.0591 -0.4441 -2.1162
Cu -0.1126 -2.3645 0.4399
```